This record from Alexandria describes a relaxed structure of Er5MgN6. The functional is GGA-PBE.

## Properties
The space group is No. 12. The value obtained for the magnetic moment is 0.0 μB/cell. The raw total energy comes out at -92.3 eV/cell. The density of states at the Fermi level is 7.1 states/eV/f.u.

The structure in extended XYZ format:
```
12
Lattice="5.785 -0.090 -1.090 -3.126 4.869 -1.090 0.112 0.202 5.878" Properties=species:S:1:pos:R:3 pbc="T T T"
Mg 0.000 0.000 0.000
N 2.210 0.420 0.924
N 3.579 2.881 2.773
N 0.760 1.365 3.831
N 2.012 3.615 -0.134
N -0.808 2.099 0.924
N 0.562 4.560 2.773
Er 4.375 0.827 1.849
Er 2.817 1.561 -1.090
Er 1.386 2.490 1.849
Er -0.158 3.217 -1.090
Er -1.603 4.154 1.849
```